First-principles (PBE) data for an optimized crystal structure of HgAs2Pb, as listed in Alexandria via LeMat-Bulk.

Properties
* crystal system: orthorhombic
* energy above the most stable polymorph in this dataset: 194 meV per atom
* density of states at the Fermi level: 1.9 states/eV/cell
* ΔE_f: 245 meV/atom
* space group: Cmm2 (35)

a b c (Å): 3.376 3.376 9.995
angles (deg): 90.00 90.00 116.47
Sites, in units of the cell vectors:
1 Pb 0.500 0.500 0.763
2 As 0.000 0.000 0.040
3 As 0.500 0.500 0.218
4 Hg 0.000 0.000 0.479